# InAsOs, relaxed, DFT PBE-GGA
data_InAsOs
_chemical_formula_sum 'In4 As4 Os4'
_space_group_name_H-M_alt 'F -4 3 m'
_space_group_IT_number 216
_space_group_name_Hall 'F -4 2 3'
_cell_length_a 6.2315
_cell_length_b 6.2315
_cell_length_c 6.2315
_cell_angle_alpha 90.00
_cell_angle_beta 90.00
_cell_angle_gamma 90.00
loop_
_atom_site_label
_atom_site_type_symbol
_atom_site_fract_x
_atom_site_fract_y
_atom_site_fract_z
_atom_site_occupancy
In1 In 0.0000 0.0000 0.0000 1
As1 As 0.0000 0.0000 0.5000 1
Os1 Os 0.2500 0.2500 0.2500 1
# Offset from the most stable computed form ... 259 meV per atom
# Formation energy ... 0.44 eV/atom
# DFT total energy ... -69.202 eV/cell